Compound: CoH2Br
Source: the Alexandria database
Functional: PBE-GGA
Structure: relaxed

CIF file:
```
data_CoH2Br
_cell_length_a 5.097
_cell_length_b 5.097
_cell_length_c 5.097
_cell_angle_alpha 120.10
_cell_angle_beta 120.10
_cell_angle_gamma 89.83
_symmetry_space_group_name_H-M 'P 1'
_symmetry_Int_Tables_number 1
loop_
_symmetry_equiv_pos_as_xyz
'x,y,z'
loop_
_atom_site_label
_atom_site_type_symbol
_atom_site_fract_x
_atom_site_fract_y
_atom_site_fract_z
_atom_site_occupancy
Co1 Co 0.000 0.000 0.000 1
Co2 Co 0.750 0.250 0.500 1
H1 H 0.375 0.084 0.209 1
H2 H 0.834 0.625 0.709 1
H3 H 0.875 0.166 0.791 1
H4 H 0.916 0.125 0.291 1
Br1 Br 0.250 0.750 0.500 1
Br2 Br 0.500 0.500 0.000 1
```

Space group: I-42d (122)
Magnetization in μB/f.u.: 1.00
Uncorrected energy in eV/atom: -3.352